First-principles (GGA-PBE) data for crystalline MgTlTc2 at its relaxed geometry, as listed in Alexandria.

Structure (POSCAR):
```
MgTlTc2
1.0
5.0309 0.0119 0.0139
4.0712 2.9556 0.0139
0.7742 0.2524 4.8593
Mg Tc Tl
1 2 1
direct
0.2500 0.2500 0.2500
0.9989 0.9989 0.0530
0.5011 0.5011 0.4470
0.7500 0.7500 0.7500
```

Values from the calculation:
M_tot (μB per formula unit): 0.0
E_form (eV per atom): 0.481
SG: No. 12

---

First-principles (GGA-PBE) data for crystalline CrSi2Ag at its relaxed geometry, as listed in Alexandria.

Structure (POSCAR):
```
CrSi2Ag
1.0
4.6374 -0.3117 0.3461
3.8092 2.6632 0.3461
0.8443 0.2351 4.2584
Ag Cr Si
1 1 2
direct
0.5035 0.5035 0.4549
0.7323 0.7323 0.8428
0.0038 0.0038 0.9310
0.2604 0.2604 0.2712
```

Values from the calculation:
M_tot (μB per formula unit): 0.9
Formation energy from raw total energies (eV per atom): 0.201
SG: No. 8

---

First-principles (GGA-PBE) data for crystalline InGa2Ag2 at its relaxed geometry, as listed in Alexandria.

Structure (POSCAR):
```
InGa2Ag2
1.0
-1.1530 -5.9916 5.3777
5.9822 -4.2733 -3.4785
2.0024 1.2867 1.8630
Ga Ag In
4 4 2
direct
0.1709 0.6709 0.5000
0.6709 0.8291 0.5000
0.8291 0.3291 0.5000
0.3291 0.1709 0.5000
0.3725 0.8725 0.0000
0.8725 0.6275 0.0000
0.6275 0.1275 0.0000
0.1275 0.3725 0.0000
0.0000 0.0000 0.0000
0.5000 0.5000 0.0000
```

Values from the calculation:
M_tot (μB per formula unit): 0.0
E_form (eV per atom): 0.040
SG: No. 127

---

First-principles (GGA-PBE) data for crystalline K2InH6 at its relaxed geometry, as listed in Alexandria.

Structure (POSCAR):
```
K2InH6
1.0
4.9838 0.0000 2.8774
1.6613 4.6988 2.8774
0.0000 0.0000 5.7549
H K In
6 2 1
direct
0.2350 0.7650 0.2350
0.7650 0.2350 0.2350
0.2350 0.7650 0.7650
0.7650 0.2350 0.7650
0.7650 0.7650 0.2350
0.2350 0.2350 0.7650
0.7500 0.7500 0.7500
0.2500 0.2500 0.2500
0.0000 0.0000 0.0000
```

Values from the calculation:
M_tot (μB per formula unit): 0.8
SG: No. 225
E_tot (eV per atom): -2.646

---

First-principles (GGA-PBE) data for crystalline Ho2Cu3SiNi12 at its relaxed geometry, as listed in Alexandria.

Structure (POSCAR):
```
Ho2Cu3SiNi12
1.0
8.8161 1.7031 1.2080
5.8348 6.8249 1.2080
5.8348 3.3964 6.0418
Ho Cu Si Ni
2 3 1 12
direct
0.6504 0.6504 0.6504
0.3496 0.3496 0.3496
0.5000 0.0000 0.0000
0.0000 0.5000 0.0000
0.0000 0.0000 0.5000
0.0000 0.0000 0.0000
0.4218 0.4218 0.8119
0.9231 0.9231 0.3548
0.3548 0.9231 0.9231
0.8119 0.4218 0.4218
0.9231 0.3548 0.9231
0.4218 0.8119 0.4218
0.5782 0.5782 0.1881
0.0769 0.0769 0.6452
0.6452 0.0769 0.0769
0.1881 0.5782 0.5782
0.0769 0.6452 0.0769
0.5782 0.1881 0.5782
```

Values from the calculation:
M_tot (μB per formula unit): 0.0
Formation energy from raw total energies (eV per atom): 0.109
SG: No. 166

---

First-principles (GGA-PBE) data for crystalline Al2CdRh at its relaxed geometry, as listed in Alexandria.

Structure (POSCAR):
```
Al2CdRh
1.0
2.8871 0.0000 0.0000
0.0000 3.0038 0.3560
0.0000 3.8598 8.4643
Rh Al Cd
1 2 1
direct
0.5000 0.7500 0.7500
0.0000 0.9452 0.9424
0.0000 0.5548 0.5576
0.5000 0.2500 0.2500
```

Values from the calculation:
M_tot (μB per formula unit): 0.0
E_form (eV per atom): -0.442
SG: No. 10

---

> Look up the M_tot of the third one.

0.0 μB per formula unit